(1)
The following is a DFT calculation (meta-GGA SCAN) of Sn2Ir2Pb at its PBEsol-relaxed geometry.

```
Sn2Ir2Pb
1.0
-2.1297 2.1297 5.8073
2.1297 -2.1297 5.8073
2.1297 2.1297 -5.8073
Sn Ir Pb
2 2 1
Direct
0.2500 0.7500 0.5000
0.7500 0.2500 0.5000
0.1109 0.1109 0.0000
0.8891 0.8891 0.0000
0.5000 0.5000 0.0000
```

Computed properties:
* space group: I4/mmm, No. 139
* formation energy from the elements: 0.083 eV per atom

(2)
The following is a DFT calculation (meta-GGA SCAN) of SrIrPb3 at its PBEsol-relaxed geometry.

```
SrIrPb3
1.0
5.7165 0.0000 0.0000
0.0000 5.7165 0.0000
0.0000 0.0000 5.7165
Sr Ir Pb
1 1 3
Direct
0.0000 0.0000 0.0000
0.5000 0.5000 0.5000
0.0000 0.0000 0.5000
0.0000 0.5000 0.0000
0.5000 0.0000 0.0000
```

Computed properties:
* space group: Pm-3m, No. 221
* formation energy from the elements: 1.840 eV per atom

(3)
The following is a DFT calculation (meta-GGA SCAN) of TaIrPb at its PBEsol-relaxed geometry.

```
TaIrPb
1.0
-1.5805 1.5805 5.8889
1.5805 -1.5805 5.8889
1.5805 1.5805 -5.8889
Ta Ir Pb
1 1 1
Direct
0.0000 0.0000 0.0000
0.6128 0.6128 0.0000
0.3040 0.3040 0.0000
```

Computed properties:
* space group: I4mm, No. 107
* formation energy from the elements: 0.050 eV per atom

(4)
The following is a DFT calculation (meta-GGA SCAN) of TaIr2Pb at its PBEsol-relaxed geometry.

```
TaIr2Pb
1.0
4.1518 0.0000 0.0000
0.0000 4.1518 0.0000
0.0000 0.0000 3.9149
Ta Ir Pb
1 2 1
Direct
0.0000 0.0000 0.0000
0.0000 0.5000 0.5000
0.5000 0.0000 0.5000
0.5000 0.5000 0.0000
```

Computed properties:
* space group: P4/mmm, No. 123
* formation energy from the elements: 0.188 eV per atom

(5)
The following is a DFT calculation (meta-GGA SCAN) of TaIrPb2 at its PBEsol-relaxed geometry.

```
TaIrPb2
1.0
3.1866 0.0000 0.0000
0.0000 3.1866 0.0000
0.0000 0.0000 8.6077
Ta Ir Pb
1 1 2
Direct
0.0000 0.0000 0.0000
0.5000 0.5000 0.8410
0.0000 0.0000 0.5977
0.5000 0.5000 0.2577
```

Computed properties:
* space group: P4mm, No. 99
* E above lowest polymorph: 0 meV per atom
* formation energy from the elements: -0.030 eV per atom

(6)
The following is a DFT calculation (meta-GGA SCAN) of TaIr2Pb at its PBEsol-relaxed geometry.

```
TaIr2Pb
1.0
-2.0576 2.0576 3.9374
2.0576 -2.0576 3.9374
2.0576 2.0576 -3.9374
Ta Ir Pb
1 2 1
Direct
0.0000 0.0000 0.0000
0.2500 0.7500 0.5000
0.7500 0.2500 0.5000
0.5000 0.5000 0.0000
```

Computed properties:
* space group: I4/mmm, No. 139
* formation energy from the elements: 0.069 eV per atom

(7)
The following is a DFT calculation (meta-GGA SCAN) of TaIrPb2 at its PBEsol-relaxed geometry.

```
TaIrPb2
1.0
4.9188 -1.5475 0.0000
4.9188 1.5475 0.0000
-1.6381 0.0000 5.2310
Ta Ir Pb
1 1 2
Direct
0.0000 0.0000 0.0000
0.5000 0.5000 0.5000
0.2381 0.2381 0.7446
0.7619 0.7619 0.2554
```

Computed properties:
* space group: C2/m, No. 12
* E above lowest polymorph: 699 meV per atom
* formation energy from the elements: 0.669 eV per atom

(8)
The following is a DFT calculation (meta-GGA SCAN) of TcIr2Pb at its PBEsol-relaxed geometry.

```
TcIr2Pb
1.0
-2.0193 2.0193 3.8788
2.0193 -2.0193 3.8788
2.0193 2.0193 -3.8788
Tc Ir Pb
1 2 1
Direct
0.0000 0.0000 0.0000
0.5000 0.5000 0.0000
0.7500 0.2500 0.5000
0.2500 0.7500 0.5000
```

Computed properties:
* space group: I-4m2, No. 119
* formation energy from the elements: 0.502 eV per atom